No. 1
Computed, not measured: CrPt2Au after structural relaxation at the PBE level of DFT.

Magnetization: 2.9 μB/f.u.
Formation energy from the elements: -0.09 eV per atom

a b c (Å): 4.888 4.888 4.888
angles (deg): 132.24 132.16 69.91
Site moments in Bohr magnetons follow the coordinates.
Sites, in units of the cell vectors:
Au 0.500 0.500 0.000  0.02
Cr 0.250 0.750 0.500  2.92
Pt 0.000 0.000 0.000  -0.14
Pt 0.750 0.250 0.500  -0.13

No. 2
Computed, not measured: CrPt2Au after structural relaxation at the PBE level of DFT.

Magnetization: 0.0 μB/f.u.
Formation energy from the elements: 0.25 eV per atom

a b c (Å): 4.448 4.448 4.448
angles (deg): 60.00 60.00 60.00
Sites, in units of the cell vectors:
Cr 0.000 0.000 0.000
Au 0.500 0.500 0.500
Pt 0.250 0.250 0.250
Pt 0.750 0.750 0.750

No. 3
Computed, not measured: Cr2PtAu after structural relaxation at the PBE level of DFT.

Magnetization: 0.0 μB/f.u.
Formation energy from the elements: 0.12 eV per atom

a b c (Å): 8.682 8.682 8.682
angles (deg): 18.69 18.69 18.69
Sites, in units of the cell vectors:
Au 0.745 0.745 0.745
Cr 0.987 0.987 0.987
Cr 0.260 0.260 0.260
Pt 0.509 0.509 0.509

No. 4
Computed, not measured: CrPtAu2 after structural relaxation at the PBE level of DFT.

Magnetization: 0.4 μB/f.u.
Formation energy from the elements: 0.67 eV per atom

a b c (Å): 7.263 7.263 5.785
angles (deg): 51.12 51.12 90.00
Site moments in Bohr magnetons follow the coordinates.
Sites, in units of the cell vectors:
Cr 0.500 0.500 0.000  -0.39
Cr 0.250 0.750 0.500  -0.40
Au 0.607 0.125 0.250  0.00
Au 0.143 0.625 0.250  0.00
Au 0.375 0.393 0.750  0.00
Au 0.875 0.857 0.750  0.00
Pt 0.000 0.000 0.000  0.01
Pt 0.750 0.250 0.500  0.00

No. 5
Computed, not measured: CrPtAu2 after structural relaxation at the PBE level of DFT.

Magnetization: 3.5 μB/f.u.
Formation energy from the elements: 0.19 eV per atom

a b c (Å): 9.237 9.237 9.237
angles (deg): 18.11 18.11 18.11
Site moments in Bohr magnetons follow the coordinates.
Sites, in units of the cell vectors:
Au 0.996 0.996 0.996  0.05
Au 0.504 0.504 0.504  0.05
Cr 0.250 0.250 0.250  3.14
Pt 0.750 0.750 0.750  -0.01

No. 6
Computed, not measured: Cr2PtAu after structural relaxation at the PBE level of DFT.

Magnetization: 0.0 μB/f.u.
Formation energy from the elements: 0.69 eV per atom

a b c (Å): 6.969 6.969 5.575
angles (deg): 51.32 51.32 90.00
Sites, in units of the cell vectors:
Cr 0.600 0.125 0.250
Cr 0.150 0.625 0.250
Cr 0.375 0.400 0.750
Cr 0.875 0.850 0.750
Au 0.000 0.000 0.000
Au 0.750 0.250 0.500
Pt 0.500 0.500 0.000
Pt 0.250 0.750 0.500